Entry 1:
# NpAl3Cu

A relaxed structure of NpAl3Cu (PBE, Alexandria via LeMat-Bulk).

Properties
Total magnetic moment   0.00 μB/cell
Symmetry   No. 62
Energy of formation from the pure elements   -0.1558 eV per atom
V   83 Å³/f.u.
Final energy   -5.809 eV per atom

abc: 3.6407 8.0790 11.3231
angles: 90.00 90.00 90.00
Last column: nearest neighbours and their distance in Å.
Element x y z (fractional)
Np (0.7500, 0.9011, 0.9959)  2 Np 2.42
Np (0.2500, 0.5989, 0.4959)  2 Np 2.42
Np (0.7500, 0.4011, 0.5041)  2 Np 2.42
Np (0.2500, 0.0989, 0.0041)  2 Np 2.42
Al (0.2500, 0.5764, 0.0831)  3 Cu 2.42-2.51
Al (0.7500, 0.4236, 0.9169)  3 Cu 2.42-2.51
Al (0.2500, 0.0764, 0.4169)  3 Cu 2.42-2.51
Al (0.7500, 0.9236, 0.5831)  3 Cu 2.42-2.51
Al (0.2500, 0.3956, 0.7261)  2 Cu 2.43-2.51
Al (0.7500, 0.1044, 0.2261)  2 Cu 2.43-2.51
Al (0.2500, 0.8956, 0.7739)  2 Cu 2.43-2.51
Al (0.7500, 0.6457, 0.7178)  2 Cu 2.53, 5 Al 2.71-2.79
Al (0.2500, 0.3543, 0.2822)  2 Cu 2.53, 5 Al 2.71-2.79
Al (0.7500, 0.1457, 0.7822)  2 Cu 2.53, 5 Al 2.71-2.79
Al (0.7500, 0.6044, 0.2739)  2 Cu 2.43-2.51
Al (0.2500, 0.8543, 0.2178)  2 Cu 2.53, 5 Al 2.71-2.79
Cu (0.2500, 0.1292, 0.6275)  7 Al 2.42-2.53
Cu (0.2500, 0.6292, 0.8725)  7 Al 2.42-2.53
Cu (0.7500, 0.3708, 0.1275)  7 Al 2.42-2.53
Cu (0.7500, 0.8708, 0.3725)  7 Al 2.42-2.53

=====

Entry 2:
# NpAlCu2O8

A relaxed structure of NpAlCu2O8 (PBE, Alexandria via LeMat-Bulk).

Properties
Total magnetic moment   3.87 μB/cell
Symmetry   No. 119
V   140 Å³/f.u.
Formation energy from raw total energies   -1384 meV per atom
Final energy   -6.763 eV per atom

abc: 5.6755 5.6755 5.6755
angles: 111.91 111.91 104.69
Last column: nearest neighbours and their distance in Å.
Element x y z (fractional)
Np (0.0000, 0.0000, 0.0000)  4 O 1.95
Al (0.2500, 0.7500, 0.5000)  4 O 1.89
Cu (0.7500, 0.2500, 0.5000)  4 O 1.87
Cu (0.5000, 0.5000, 0.0000)  4 O 1.91
O (0.3529, 0.0508, 0.3021)  1 Cu 1.87, 1 Np 1.95
O (0.3018, 0.5101, 0.2082)  1 Al 1.89, 1 Cu 1.91
O (0.3018, 0.0936, 0.7917)  1 Al 1.89, 1 Cu 1.91
O (0.7487, 0.0508, 0.6979)  1 Cu 1.87, 1 Np 1.95
O (0.9064, 0.6982, 0.2082)  1 Al 1.89, 1 Cu 1.91
O (0.9492, 0.2513, 0.3021)  1 Cu 1.87, 1 Np 1.95
O (0.9492, 0.6471, 0.6979)  1 Cu 1.87, 1 Np 1.95
O (0.4899, 0.6982, 0.7917)  1 Al 1.89, 1 Cu 1.91

=====

Entry 3:
# NpAl2CuO8

A relaxed structure of NpAl2CuO8 (PBE, Alexandria via LeMat-Bulk).

Properties
Total magnetic moment   0.00 μB/cell
Symmetry   No. 12
V   130 Å³/f.u.
Formation energy from raw total energies   -2140 meV per atom
Final energy   -7.489 eV per atom

abc: 4.6571 4.6555 6.0140
angles: 86.13 93.86 93.03
Last column: nearest neighbours and their distance in Å.
Element x y z (fractional)
Np (0.0000, 0.0000, 0.0000)  4 O 1.89-2.03
Al (0.4812, 0.5188, 0.7340)  6 O 1.88-2.00
Al (0.5188, 0.4812, 0.2660)  6 O 1.88-2.00
Cu (0.0000, 0.0000, 0.5000)  4 O 1.87-1.98
O (0.2210, 0.7783, 0.2177)  1 Np 1.89, 1 Al 2.00
O (0.6822, 0.6828, 0.0000)  2 Al 1.98, 1 Np 2.03
O (0.8033, 0.1973, 0.2608)  1 Cu 1.87, 1 Al 1.92
O (0.7790, 0.2217, 0.7823)  1 Np 1.89, 1 Al 2.00
O (0.3178, 0.3172, 0.0000)  2 Al 1.98, 1 Np 2.03
O (0.1967, 0.8027, 0.7392)  1 Cu 1.87, 1 Al 1.92
O (0.6909, 0.6914, 0.4999)  2 Al 1.88, 1 Cu 1.98
O (0.3091, 0.3086, 0.5001)  2 Al 1.88, 1 Cu 1.98